First-principles (SCAN) data for a PBEsol-optimized structure of CsPPbO4, as listed in the Alexandria database.

Cell: 9.827 5.664 8.984 Å, 90.00 90.00 90.00°
Space group Pnma (No. 62)
Unique sites:
Cs 0.023 0.250 0.148 x4
P 0.168 0.750 0.413 x4
Pb 0.159 0.250 0.594 x4
O 0.057 0.750 0.539 x4
O 0.099 0.750 0.258 x4
O 0.241 0.026 0.932 x8

Energy relative to the elements, uncorrected in eV/atom: -2.228

***

First-principles (SCAN) data for a PBEsol-optimized structure of HgOs2Se, as listed in the Alexandria database.

Cell: 5.726 9.283 2.795 Å, 90.00 118.00 90.00°
Space group C2/m (No. 12)
Unique sites:
Hg 0.000 0.000 0.000 x2
Os 0.250 0.250 0.000 x4
Se 0.000 0.500 0.000 x2

Energy relative to the elements, uncorrected in eV/atom: 1.273

***

First-principles (SCAN) data for a PBEsol-optimized structure of BePtPb2, as listed in the Alexandria database.

Cell: 6.870 6.870 6.870 Å, 90.00 90.00 90.00°
Space group F-43m (No. 216)
Unique sites:
Be 0.000 0.000 0.000 x4
Pt 0.250 0.250 0.250 x4
Pb 0.000 0.000 0.500 x4
Pb 0.250 0.250 0.750 x4

DFT formation energy in meV per atom: 542

***

First-principles (SCAN) data for a PBEsol-optimized structure of Ho3Al2, as listed in the Alexandria database.

Cell: 8.094 8.094 7.454 Å, 90.00 90.00 90.00°
Space group P4_2/mnm (No. 136)
Unique sites:
Ho 0.000 0.500 0.250 x4
Ho 0.149 0.149 0.000 x4
Ho 0.202 0.202 0.500 x4
Al 0.120 0.880 0.306 x8

DFT formation energy in meV per atom: -347

***

First-principles (SCAN) data for a PBEsol-optimized structure of CaSiNi2F, as listed in the Alexandria database.

Cell: 4.191 4.191 4.293 Å, 90.00 90.00 90.00°
Space group P4/mmm (No. 123)
Unique sites:
Ca 0.000 0.000 0.000 x1
Si 0.500 0.500 0.000 x1
Ni 0.000 0.500 0.500 x2
F 0.500 0.500 0.500 x1

Energy relative to the elements, uncorrected in eV/atom: 0.099

***

First-principles (SCAN) data for a PBEsol-optimized structure of LiBe, as listed in the Alexandria database.

Cell: 2.801 2.801 2.801 Å, 90.00 90.00 90.00°
Space group Pm-3m (No. 221)
Unique sites:
Li 0.000 0.000 0.000 x1
Be 0.500 0.500 0.500 x1

DFT formation energy in meV per atom: 381
Energy above the lowest structure with this stoichiometry in meV/atom: 143.4

***

First-principles (SCAN) data for a PBEsol-optimized structure of YCu2Te, as listed in the Alexandria database.

Cell: 3.762 4.265 5.126 Å, 90.00 90.00 90.00°
Space group Pmmm (No. 47)
Unique sites:
Y 0.000 0.000 0.000 x1
Cu 0.500 0.500 0.225 x2
Te 0.500 0.000 0.500 x1

Energy relative to the elements, uncorrected in eV/atom: -0.418

***

First-principles (SCAN) data for a PBEsol-optimized structure of Mn2IrOs, as listed in the Alexandria database.

Cell: 5.955 5.955 5.955 Å, 90.00 90.00 90.00°
Space group Fm-3m (No. 225)
Unique sites:
Mn 0.250 0.250 0.250 x8
Ir 0.000 0.000 0.000 x4
Os 0.000 0.000 0.500 x4

DFT formation energy in meV per atom: -358
Energy above the lowest structure with this stoichiometry in meV/atom: 0.0

***

First-principles (SCAN) data for a PBEsol-optimized structure of ZrScCr3, as listed in the Alexandria database.

Cell: 4.651 4.651 4.651 Å, 90.00 90.00 90.00°
Space group Pm-3m (No. 221)
Unique sites:
Zr 0.000 0.000 0.000 x1
Sc 0.500 0.500 0.500 x1
Cr 0.000 0.000 0.500 x3

DFT formation energy in meV per atom: 1189

***

First-principles (SCAN) data for a PBEsol-optimized structure of Li3FeNi3O8, as listed in the Alexandria database.

Cell: 5.6024 5.6024 9.0992 Å, 90.00 90.00 120.00°
Space group P6_3mc (No. 186)
Unique sites:
Li 0.1678 0.3357 0.0000 x6
Fe 0.3333 0.6667 0.5456 x2
Ni 0.1695 0.3390 0.2667 x6
O 0.0000 0.0000 0.3671 x2
O 0.0371 0.5186 0.4032 x6
O 0.1652 0.3305 0.6410 x6
O 0.3333 0.6667 0.1598 x2

Energy above the lowest structure with this stoichiometry in meV/atom: 20.5
Energy relative to the elements, uncorrected in eV/atom: -1.594

***

First-principles (SCAN) data for a PBEsol-optimized structure of NbAl3, as listed in the Alexandria database.

Cell: 3.869 3.869 16.739 Å, 90.00 90.00 90.00°
Space group I4/mmm (No. 139)
Unique sites:
Nb 0.000 0.000 0.123 x4
Al 0.000 0.000 0.378 x4
Al 0.000 0.500 0.000 x4
Al 0.000 0.500 0.250 x4

DFT formation energy in meV per atom: -399

***

First-principles (SCAN) data for a PBEsol-optimized structure of Y2CoRh, as listed in the Alexandria database.

Cell: 3.933 3.893 10.331 Å, 90.00 90.00 90.00°
Space group Amm2 (No. 38)
Unique sites:
Y 0.000 0.000 0.000 x2
Y 0.500 0.000 0.291 x2
Co 0.500 0.000 0.573 x2
Rh 0.000 0.000 0.713 x2

DFT formation energy in meV per atom: -478

***

no.,total energy (eV for the cell shown),total magnetic moment (μB per formula unit)
1,-658.05,0.0
2,-453.82,0.0
3,-895.76,0.0
4,-656.80,0.0
5,-55.07,1.7
6,-5.98,0.0
7,-97.17,0.0
8,-723.69,7.0
9,-94.15,9.2
10,-295.16,1.0
11,-231.92,0.0
12,-217.35,0.7